8
Lattice="3.630 0.000 0.000 -1.815 3.143 0.000 0.000 0.000 16.097" Properties=species:S:1:pos:R:3 comment="Dy3ErPb2C2 PBE relaxed" sg="P3m1 (156)" dft_energy_ev_per_cell=-48.22 magnetic_moment_mub_per_cell=0.02 pbc="T T T"
Dy 0.000 0.000 0.000
Dy 0.000 0.000 5.391
Dy 1.815 1.048 13.430
Er 1.815 1.048 8.034
Pb 0.000 0.000 10.727
Pb 1.815 1.048 2.691
C 0.000 2.096 6.728
C 0.000 2.096 14.761

=====

8
Lattice="3.618 0.000 0.000 -1.809 3.133 0.000 0.000 0.000 16.036" Properties=species:S:1:pos:R:3 comment="DyErPbC PBE relaxed" sg="P-6m2 (187)" dft_energy_ev_per_cell=-48.25 magnetic_moment_mub_per_cell=0.03 pbc="T T T"
Dy 0.000 0.000 2.690
Dy 0.000 0.000 13.346
Er 1.809 1.044 5.331
Er 1.809 1.044 10.705
Pb 0.000 0.000 8.018
Pb 1.809 1.044 0.000
C 0.000 2.089 4.033
C 0.000 2.089 12.003

=====

8
Lattice="3.621 0.000 0.000 -1.811 3.136 0.000 0.000 0.000 16.048" Properties=species:S:1:pos:R:3 comment="DyErPbC PBE relaxed" sg="P6_3mc (186)" dft_energy_ev_per_cell=-48.25 magnetic_moment_mub_per_cell=0.03 pbc="T T T"
Dy 0.000 2.091 0.000
Dy 1.811 1.045 8.024
Er 0.000 2.091 10.668
Er 1.811 1.045 2.644
Pb 0.000 2.091 5.325
Pb 1.811 1.045 13.349
C 0.000 0.000 1.334
C 0.000 0.000 9.358

=====

8
Lattice="3.612 0.000 0.000 -1.806 3.128 0.000 0.000 0.000 15.998" Properties=species:S:1:pos:R:3 comment="DyEr3Pb2C2 PBE relaxed" sg="P3m1 (156)" dft_energy_ev_per_cell=-48.28 magnetic_moment_mub_per_cell=0.03 pbc="T T T"
Dy 0.000 0.000 0.000
Er 0.000 0.000 10.635
Er 1.806 1.043 2.647
Er 1.806 1.043 8.008
Pb 0.000 0.000 5.323
Pb 1.806 1.043 13.313
C 0.000 2.085 1.335
C 0.000 2.085 9.320

=====

8
Lattice="3.621 0.000 0.000 -1.810 3.136 0.000 0.000 0.000 16.049" Properties=species:S:1:pos:R:3 comment="DyErPbC PBE relaxed" sg="P-3m1 (164)" dft_energy_ev_per_cell=-48.25 magnetic_moment_mub_per_cell=0.03 pbc="T T T"
Dy 0.000 2.090 6.691
Dy 1.810 1.045 9.358
Er 0.000 2.090 1.311
Er 1.810 1.045 14.738
Pb 0.000 2.090 12.049
Pb 1.810 1.045 4.000
C 0.000 0.000 0.000
C 0.000 0.000 8.024

=====

8
Lattice="3.675 0.000 0.000 -1.838 3.183 0.000 0.000 0.000 12.793" Properties=species:S:1:pos:R:3 comment="DyEr3C2S2 PBE relaxed" sg="P3m1 (156)" dft_energy_ev_per_cell=-55.25 magnetic_moment_mub_per_cell=0.01 pbc="T T T"
Dy 0.000 0.000 0.000
Er 0.000 0.000 9.048
Er 0.000 2.122 2.669
Er 0.000 2.122 6.402
C 1.838 1.061 1.344
C 1.838 1.061 7.724
S 0.000 0.000 4.529
S 0.000 2.122 10.906

=====

8
Lattice="3.696 0.000 0.000 -1.848 3.200 0.000 0.000 0.000 12.872" Properties=species:S:1:pos:R:3 comment="Dy3ErC2S2 PBE relaxed" sg="P3m1 (156)" dft_energy_ev_per_cell=-55.18 magnetic_moment_mub_per_cell=0.01 pbc="T T T"
Dy 0.000 0.000 0.000
Dy 0.000 0.000 3.761
Dy 0.000 2.134 10.180
Er 0.000 2.134 6.430
C 1.848 1.067 5.105
C 1.848 1.067 11.524
S 0.000 0.000 8.290
S 0.000 2.134 1.874

=====

8
Lattice="3.741 0.000 0.000 -1.870 3.239 0.000 0.000 0.000 13.204" Properties=species:S:1:pos:R:3 comment="DyErCSe PBE relaxed" sg="P6_3mc (186)" dft_energy_ev_per_cell=-53.05 magnetic_moment_mub_per_cell=0.00 pbc="T T T"
Dy 0.000 2.160 0.000
Dy 1.870 1.080 6.602
Er 0.000 2.160 3.962
Er 1.870 1.080 10.564
C 0.000 0.000 5.272
C 0.000 0.000 11.874
Se 0.000 2.160 8.605
Se 1.870 1.080 2.003